Rb2Na2Sn15 | PBE | optimized geometry

Output
**Total DFT energy (no corrections)**: -3.478 eV per atom
**Total magnetic moment**: 0.00 μB/f.u.
**Volume**: 30.8 Å³ per atom

abc: 8.4813 8.4813 8.4813
angles: 80.03 80.03 80.03
Closest atoms and distances in Å follow each position.
Sites, in units of the cell vectors:
Rb  0.3448  0.3448  0.3448  12 Sn 3.86-4.13, 1 Na 4.14
Rb  0.6552  0.6552  0.6552  12 Sn 3.86-4.13, 1 Na 4.14
Na  0.1022  0.1022  0.1022  12 Sn 3.33-3.60, 1 Na 3.48
Na  0.8978  0.8978  0.8978  12 Sn 3.33-3.60, 1 Na 3.48
Sn  0.5000  0.0000  0.0000  8 Sn 3.18-3.28, 2 Na 3.33
Sn  0.0000  0.0000  0.5000  8 Sn 3.18-3.28, 2 Na 3.33
Sn  0.0000  0.5000  0.0000  8 Sn 3.18-3.28, 2 Na 3.33
Sn  0.0000  0.7108  0.2892  6 Sn 3.15-3.36
Sn  0.7108  0.2892  0.0000  6 Sn 3.15-3.36
Sn  0.2892  0.0000  0.7108  6 Sn 3.15-3.36
Sn  0.2892  0.7108  0.0000  6 Sn 3.15-3.36
Sn  0.7108  0.0000  0.2892  6 Sn 3.15-3.36
Sn  0.0000  0.2892  0.7108  6 Sn 3.15-3.36
Sn  0.1456  0.6430  0.6430  6 Sn 3.18-3.36, 1 Na 3.50
Sn  0.6430  0.6430  0.1456  6 Sn 3.18-3.36, 1 Na 3.50
Sn  0.6430  0.1456  0.6430  6 Sn 3.18-3.36, 1 Na 3.50
Sn  0.8544  0.3570  0.3570  6 Sn 3.18-3.36, 1 Na 3.50
Sn  0.3570  0.3570  0.8544  6 Sn 3.18-3.36, 1 Na 3.50
Sn  0.3570  0.8544  0.3570  6 Sn 3.18-3.36, 1 Na 3.50

DyGePt2 | PBE | optimized geometry

Output
**Total DFT energy (no corrections)**: -6.348 eV per atom
**Total magnetic moment**: 0.00 μB/f.u.
**Volume**: 18.4 Å³ per atom

abc: 5.5279 7.1537 14.8950
angles: 90.00 90.00 90.00
Closest atoms and distances in Å follow each position.
Sites, in units of the cell vectors:
Dy  0.4812  0.2500  0.1366  3 Ge 2.91-3.00, 8 Pt 3.01-3.22
Dy  0.9812  0.7500  0.3634  3 Ge 2.91-3.00, 8 Pt 3.01-3.22
Dy  0.5188  0.7500  0.8634  3 Ge 2.91-3.00, 8 Pt 3.01-3.22
Dy  0.0188  0.2500  0.6366  3 Ge 2.91-3.00, 8 Pt 3.01-3.22
Dy  0.7544  0.2500  0.3888  3 Ge 2.91-3.00, 6 Pt 3.01-3.14
Dy  0.2544  0.7500  0.1112  3 Ge 2.91-3.00, 6 Pt 3.01-3.14
Dy  0.2456  0.7500  0.6112  3 Ge 2.91-3.00, 6 Pt 3.01-3.14
Dy  0.7456  0.2500  0.8888  3 Ge 2.91-3.00, 6 Pt 3.01-3.14
Ge  0.2455  0.2500  0.3182  6 Pt 2.52-2.67
Ge  0.7455  0.7500  0.1818  6 Pt 2.52-2.67
Ge  0.7545  0.7500  0.6818  6 Pt 2.52-2.67
Ge  0.2545  0.2500  0.8182  6 Pt 2.52-2.67
Ge  0.9755  0.2500  0.0686  6 Pt 2.57-2.63
Ge  0.4755  0.7500  0.4314  6 Pt 2.57-2.63
Ge  0.0245  0.7500  0.9314  6 Pt 2.57-2.63
Ge  0.5245  0.2500  0.5686  6 Pt 2.57-2.63
Pt  0.9574  0.0523  0.2176  3 Ge 2.52-2.63
Pt  0.4574  0.9477  0.2824  3 Ge 2.52-2.63
Pt  0.0426  0.5523  0.7824  3 Ge 2.52-2.63
Pt  0.5426  0.4477  0.7176  3 Ge 2.52-2.63
Pt  0.0426  0.9477  0.7824  3 Ge 2.52-2.63
Pt  0.5426  0.0523  0.7176  3 Ge 2.52-2.63
Pt  0.9574  0.4477  0.2176  3 Ge 2.52-2.63
Pt  0.4574  0.5523  0.2824  3 Ge 2.52-2.63
Pt  0.7379  0.5492  0.0308  3 Ge 2.57-2.67, 2 Pt 2.87
Pt  0.2379  0.4508  0.4692  3 Ge 2.57-2.67, 2 Pt 2.87
Pt  0.2621  0.0492  0.9692  3 Ge 2.57-2.67, 2 Pt 2.87
Pt  0.7621  0.9508  0.5308  3 Ge 2.57-2.67, 2 Pt 2.87
Pt  0.2621  0.4508  0.9692  3 Ge 2.57-2.67, 2 Pt 2.87
Pt  0.7621  0.5492  0.5308  3 Ge 2.57-2.67, 2 Pt 2.87
Pt  0.7379  0.9508  0.0308  3 Ge 2.57-2.67, 2 Pt 2.87
Pt  0.2379  0.0492  0.4692  3 Ge 2.57-2.67, 2 Pt 2.87

Ca8ZnPd2 | PBE | optimized geometry

Output
**Total DFT energy (no corrections)**: -2.818 eV per atom
**Total magnetic moment**: 0.00 μB/f.u.
**Volume**: 31.8 Å³ per atom

abc: 6.0026 8.0670 8.0670
angles: 111.83 98.54 98.54
Closest atoms and distances in Å follow each position.
Sites, in units of the cell vectors:
Ca  0.5756  0.3356  0.0720  2 Pd 2.98-2.99
Ca  0.5756  0.0720  0.3356  2 Pd 2.98-2.99
Ca  0.1865  0.3763  0.3763  2 Pd 3.13, 1 Zn 3.28
Ca  0.9886  0.2342  0.7677  2 Pd 3.17-3.21, 1 Zn 3.20
Ca  0.9886  0.7677  0.2342  2 Pd 3.17-3.21, 1 Zn 3.20
Ca  0.7970  0.6318  0.6318  2 Pd 3.12, 1 Zn 3.39
Ca  0.3945  0.9345  0.6692  2 Pd 2.99-3.00, 1 Zn 3.32
Ca  0.3945  0.6692  0.9345  2 Pd 2.99-3.00, 1 Zn 3.32
Zn  0.1112  0.0032  0.0032  8 Ca 3.20-3.39
Pd  0.4937  0.6910  0.3185  8 Ca 2.98-3.21
Pd  0.4937  0.3185  0.6910  8 Ca 2.98-3.21